No. 1
Compound: NaNiCl
Source: the Alexandria database
Functional: PBE
Structure: optimized geometry

Cell and atoms, written as POSCAR:
```
NaNiCl
1.0
5.2691 -1.6719 0.0000
5.2691 1.6719 0.0000
-4.6709 0.0000 6.8001
Na Ni Cl
2 2 2
direct
0.0390 0.0390 0.2650
0.9610 0.9610 0.7350
0.2571 0.2571 0.1072
0.7429 0.7429 0.8928
0.2246 0.2246 0.6876
0.7754 0.7754 0.3124
```

## Properties
Energy above the lowest structure with this stoichiometry (eV per formula unit): 0.345
Energy (eV/cell): -20.9
Raw formation energy (meV/atom): -495



No. 2
Compound: NaNi2Cl
Source: the Alexandria database
Functional: PBE
Structure: optimized geometry

Cell and atoms, written as POSCAR:
```
NaNi2Cl
1.0
0.0000 3.1301 3.1301
3.1301 0.0000 3.1301
3.1301 3.1301 0.0000
Na Ni Cl
1 2 1
direct
0.0000 0.0000 0.0000
0.2500 0.2500 0.2500
0.7500 0.7500 0.7500
0.5000 0.5000 0.5000
```

## Properties
Energy above the lowest structure with this stoichiometry (eV per formula unit): 2.011
Energy (eV/cell): -12.0
Raw formation energy (meV/atom): 684



No. 3
Compound: Na2NiCl6
Source: the Alexandria database
Functional: PBE
Structure: optimized geometry

Cell and atoms, written as POSCAR:
```
Na2NiCl6
1.0
6.5886 0.0000 0.0000
0.0000 6.8539 0.0000
-6.4332 0.0000 9.1892
Na Ni Cl
4 2 12
direct
0.2209 0.0851 0.2414
0.2209 0.4149 0.7414
0.7791 0.5851 0.2586
0.7791 0.9149 0.7586
0.5000 0.0000 0.0000
0.5000 0.5000 0.5000
0.1747 0.1809 0.9500
0.1747 0.3191 0.4500
0.2811 0.7256 0.9563
0.2811 0.7744 0.4563
0.3614 0.0140 0.7648
0.3614 0.4860 0.2648
0.6386 0.5140 0.7352
0.6386 0.9860 0.2352
0.7189 0.2256 0.5437
0.7189 0.2744 0.0437
0.8253 0.6809 0.5500
0.8253 0.8191 0.0500
```

## Properties
Energy (eV/cell): -57.0
Raw formation energy (meV/atom): -1001



No. 4
Compound: NaNi3Cl
Source: the Alexandria database
Functional: PBE
Structure: optimized geometry

Cell and atoms, written as POSCAR:
```
NaNi3Cl
1.0
4.2281 0.0000 0.0000
0.0000 4.2281 0.0000
0.0000 0.0000 4.2281
Na Ni Cl
1 3 1
direct
0.0000 0.0000 0.0000
0.0000 0.5000 0.5000
0.5000 0.0000 0.5000
0.5000 0.5000 0.0000
0.5000 0.5000 0.5000
```

## Properties
Energy above the lowest structure with this stoichiometry (eV per formula unit): 0.000
Energy (eV/cell): -18.1
Raw formation energy (meV/atom): 475



No. 5
Compound: NaNiCl5
Source: the Alexandria database
Functional: PBE
Structure: optimized geometry

Cell and atoms, written as POSCAR:
```
NaNiCl5
1.0
3.5914 -5.9454 0.0000
3.5914 5.9454 0.0000
-2.0120 0.0000 8.1093
Na Ni Cl
2 2 10
direct
0.1014 0.8986 0.7500
0.8986 0.1014 0.2500
0.5000 0.5000 0.0000
0.5000 0.5000 0.5000
0.1372 0.2597 0.9720
0.2224 0.5585 0.4072
0.2597 0.1372 0.4720
0.4193 0.5807 0.7500
0.4415 0.7776 0.0928
0.5585 0.2224 0.9072
0.5807 0.4193 0.2500
0.7403 0.8628 0.5280
0.7776 0.4415 0.5928
0.8628 0.7403 0.0280
```

## Properties
Energy (eV/cell): -42.6
Raw formation energy (meV/atom): -712



No. 6
Compound: Na2Ni2Cl7
Source: the Alexandria database
Functional: PBE
Structure: optimized geometry

Cell and atoms, written as POSCAR:
```
Na2Ni2Cl7
1.0
8.0113 -3.3983 0.0000
8.0113 3.3983 0.0000
-0.0429 0.0000 4.9833
Na Ni Cl
2 2 7
direct
0.2304 0.7696 0.0000
0.7696 0.2304 0.0000
0.2694 0.2694 0.5359
0.7306 0.7306 0.4641
0.0000 0.0000 0.5000
0.0491 0.5667 0.2702
0.3953 0.3953 0.7686
0.4333 0.9510 0.7298
0.5667 0.0491 0.2702
0.6047 0.6047 0.2314
0.9510 0.4333 0.7298
```

## Properties
Energy (eV/cell): -36.1
Raw formation energy (meV/atom): -819



No. 7
Compound: NaNiCl
Source: the Alexandria database
Functional: PBE
Structure: optimized geometry

Cell and atoms, written as POSCAR:
```
NaNiCl
1.0
5.8521 0.0000 0.0000
0.0000 3.3431 0.0000
-0.4747 0.0000 6.2088
Na Ni Cl
2 2 2
direct
0.2348 0.2500 0.3026
0.7652 0.7500 0.6974
0.4096 0.2500 0.8875
0.5904 0.7500 0.1125
0.2402 0.7500 0.6752
0.7598 0.2500 0.3248
```

## Properties
Energy above the lowest structure with this stoichiometry (eV per formula unit): 0.372
Energy (eV/cell): -20.8
Raw formation energy (meV/atom): -486



No. 8
Compound: NaNiCl
Source: the Alexandria database
Functional: PBE
Structure: optimized geometry

Cell and atoms, written as POSCAR:
```
NaNiCl
1.0
3.3274 0.0000 0.0000
0.0001 3.3888 0.0000
1.6611 0.0458 10.1957
Na Ni Cl
2 2 2
direct
0.0000 0.0000 0.0000
0.1748 0.4848 0.6475
0.3226 0.4918 0.3489
0.7896 0.9911 0.4146
0.4365 0.4976 0.1271
0.6072 0.9830 0.7837
```

## Properties
Energy above the lowest structure with this stoichiometry (eV per formula unit): 0.000
Energy (eV/cell): -21.6
Raw formation energy (meV/atom): -610